No. 1
Material: Tb6GeTe3
Method: DFT, PBE
State: relaxed

## Properties
Fermi-level density of states: 18.8 states/eV per cell
E_form (uncorrected): -924.8 meV/atom

Geometry as CIF:
```
data_Tb6GeTe3
_space_group_name_H-M_alt 'P 1 21/m 1'
_space_group_IT_number 11
_space_group_name_Hall '-P 2yb'
_cell_length_a 12.197
_cell_length_b 4.084
_cell_length_c 12.371
_cell_angle_alpha 90.00
_cell_angle_beta 104.73
_cell_angle_gamma 90.00
loop_
_atom_site_label
_atom_site_type_symbol
_atom_site_fract_x
_atom_site_fract_y
_atom_site_fract_z
Tb1 Tb 0.012 0.250 0.359
Tb2 Tb 0.083 0.250 0.888
Tb3 Tb 0.267 0.750 0.299
Tb4 Tb 0.289 0.750 0.766
Tb5 Tb 0.396 0.250 0.551
Tb6 Tb 0.459 0.750 0.139
Ge1 Ge 0.451 0.250 0.318
Te1 Te 0.111 0.250 0.147
Te2 Te 0.181 0.750 0.511
Te3 Te 0.340 0.250 0.962
```

---

No. 2
Material: Tb4GeTe2
Method: DFT, PBE
State: relaxed

## Properties
Fermi-level density of states: 7.5 states/eV per cell
E_form (uncorrected): -945.4 meV/atom

Geometry as CIF:
```
data_Tb4GeTe2
_space_group_name_H-M_alt 'C 1 2/m 1'
_space_group_IT_number 12
_space_group_name_Hall '-C 2y'
_cell_length_a 15.845
_cell_length_b 4.191
_cell_length_c 7.050
_cell_angle_alpha 90.00
_cell_angle_beta 116.13
_cell_angle_gamma 90.00
loop_
_atom_site_label
_atom_site_type_symbol
_atom_site_fract_x
_atom_site_fract_y
_atom_site_fract_z
Tb1 Tb 0.107 0.000 0.264
Tb2 Tb 0.110 0.500 0.780
Ge1 Ge 0.000 0.000 0.500
Te1 Te 0.249 0.500 0.255
```

---

No. 3
Material: Tb5Ge2Te2
Method: DFT, PBE
State: relaxed

## Properties
Fermi-level density of states: 32.2 states/eV per cell
E_form (uncorrected): -1063.5 meV/atom

Geometry as CIF:
```
data_Tb5Ge2Te2
_space_group_name_H-M_alt 'C m c e'
_space_group_IT_number 64
_space_group_name_Hall '-C 2ac 2'
_cell_length_a 15.278
_cell_length_b 7.889
_cell_length_c 7.935
_cell_angle_alpha 90.00
_cell_angle_beta 90.00
_cell_angle_gamma 90.00
loop_
_atom_site_label
_atom_site_type_symbol
_atom_site_fract_x
_atom_site_fract_y
_atom_site_fract_z
Tb1 Tb 0.000 0.000 0.000
Tb2 Tb 0.126 0.162 0.337
Ge1 Ge 0.000 0.141 0.639
Te1 Te 0.204 0.000 0.000
```

---

No. 4
Material: Tb3GeTe6
Method: DFT, PBE
State: relaxed

## Properties
Fermi-level density of states: 12.6 states/eV per cell
E_form (uncorrected): -1016.6 meV/atom

Geometry as CIF:
```
data_Tb3GeTe6
_space_group_name_H-M_alt 'C m c 21'
_space_group_IT_number 36
_space_group_name_Hall 'C 2c -2'
_cell_length_a 12.095
_cell_length_b 14.993
_cell_length_c 7.346
_cell_angle_alpha 90.00
_cell_angle_beta 90.00
_cell_angle_gamma 90.00
loop_
_atom_site_label
_atom_site_type_symbol
_atom_site_fract_x
_atom_site_fract_y
_atom_site_fract_z
Tb1 Tb 0.000 0.093 0.000
Tb2 Tb 0.182 0.403 0.109
Ge1 Ge 0.000 0.298 0.648
Te1 Te 0.000 0.278 0.267
Te2 Te 0.000 0.467 0.806
Te3 Te 0.163 0.038 0.302
Te4 Te 0.174 0.230 0.841
```

---

No. 5
Material: Tb6GeTe12
Method: DFT, PBE
State: relaxed

## Properties
Fermi-level density of states: 45.3 states/eV per cell
E_form (uncorrected): -1021.0 meV/atom

Geometry as CIF:
```
data_Tb6GeTe12
_space_group_name_H-M_alt 'R -3'
_space_group_IT_number 148
_space_group_name_Hall '-R 3'
_cell_length_a 13.3452
_cell_length_b 13.3452
_cell_length_c 12.5334
_cell_angle_alpha 90.00
_cell_angle_beta 90.00
_cell_angle_gamma 120.00
loop_
_atom_site_label
_atom_site_type_symbol
_atom_site_fract_x
_atom_site_fract_y
_atom_site_fract_z
Tb1 Tb 0.0469 0.2760 0.1362
Ge1 Ge 0.0000 0.0000 0.5000
Te1 Te 0.0330 0.2111 0.8924
Te2 Te 0.0733 0.2124 0.3823
```

---

No. 6
Material: Tb6GeTe2
Method: DFT, PBE
State: relaxed

## Properties
Fermi-level density of states: 25.2 states/eV per cell
E_form (uncorrected): -516.9 meV/atom

Geometry as CIF:
```
data_Tb6GeTe2
_space_group_name_H-M_alt 'P 42/m n m'
_space_group_IT_number 136
_space_group_name_Hall '-P 4n 2n'
_cell_length_a 6.954
_cell_length_b 6.954
_cell_length_c 12.795
_cell_angle_alpha 90.00
_cell_angle_beta 90.00
_cell_angle_gamma 90.00
loop_
_atom_site_label
_atom_site_type_symbol
_atom_site_fract_x
_atom_site_fract_y
_atom_site_fract_z
Tb1 Tb 0.199 0.199 0.159
Tb2 Tb 0.219 0.219 0.500
Ge1 Ge 0.000 0.000 0.000
Te1 Te 0.000 0.000 0.336
```

---

No. 7
Material: Tb4GeTe3
Method: DFT, PBE
State: relaxed

## Properties
Fermi-level density of states: 6.8 states/eV per cell
E_form (uncorrected): -1302.4 meV/atom

Geometry as CIF:
```
data_Tb4GeTe3
_space_group_name_H-M_alt 'C m m m'
_space_group_IT_number 65
_space_group_name_Hall '-C 2 2'
_cell_length_a 8.745
_cell_length_b 12.282
_cell_length_c 4.304
_cell_angle_alpha 90.00
_cell_angle_beta 90.00
_cell_angle_gamma 90.00
loop_
_atom_site_label
_atom_site_type_symbol
_atom_site_fract_x
_atom_site_fract_y
_atom_site_fract_z
Tb1 Tb 0.000 0.234 0.000
Tb2 Tb 0.224 0.000 0.500
Ge1 Ge 0.000 0.000 0.000
Te1 Te 0.000 0.500 0.000
Te2 Te 0.250 0.250 0.500
```

---

No. 8
Material: TbGe2Te3
Method: DFT, PBE
State: relaxed

## Properties
Fermi-level density of states: 2.7 states/eV per cell
E_form (uncorrected): -485.2 meV/atom

Geometry as CIF:
```
data_TbGe2Te3
_space_group_name_H-M_alt 'P 1 21/m 1'
_space_group_IT_number 11
_space_group_name_Hall '-P 2yb'
_cell_length_a 9.031
_cell_length_b 4.191
_cell_length_c 12.212
_cell_angle_alpha 90.00
_cell_angle_beta 109.16
_cell_angle_gamma 90.00
loop_
_atom_site_label
_atom_site_type_symbol
_atom_site_fract_x
_atom_site_fract_y
_atom_site_fract_z
Tb1 Tb 0.219 0.250 0.186
Ge1 Ge 0.280 0.750 0.466
Ge2 Ge 0.476 0.750 0.052
Te1 Te 0.069 0.250 0.370
Te2 Te 0.161 0.750 0.988
Te3 Te 0.461 0.750 0.318
```

---

- Look up the Fermi-level density of states of the second one.
  7.5 states/eV per cell